BeCu2Pt meta-GGA SCAN single point on PBEsol structure; energy of formation = -8.9 kcal/mol of atoms
1.0
-0.4101 2.4551 -1.0992
-2.9382 0.6638 2.5788
4.4074 0.1002 1.9472
Cu Be Pt
2 1 1
Cartesian
-0.1649 2.4759 2.2236
1.2239 0.7432 1.2032
-0.2051 1.2276 -0.5496
-1.4691 0.3319 1.2894

***

Be2CuPt meta-GGA SCAN single point on PBEsol structure; energy of formation = -13.3 kcal/mol of atoms
1.0
-2.5456 -0.8929 -0.5646
-0.5288 -0.1981 2.6976
-1.8219 5.1792 0.0232
Be Pt Cu
2 1 1
Cartesian
-0.4328 1.2304 0.0055
-1.3891 3.9488 0.0177
-2.4481 2.0441 1.0781
-1.5372 -0.5455 1.0665

***

Be2CuPt meta-GGA SCAN single point on PBEsol structure; energy of formation = -14.9 kcal/mol of atoms
1.0
-2.3749 1.3729 2.7698
-0.5297 -2.0213 3.2909
1.4786 1.3192 3.3571
Pt Cu Be
1 1 2
Cartesian
-0.7130 0.3354 4.7089
0.0000 0.0000 0.0000
-0.3565 0.1677 2.3545
-1.0695 0.5031 7.0634

***

Be2CuPt meta-GGA SCAN single point on PBEsol structure; energy of formation = -14.0 kcal/mol of atoms
1.0
-0.5844 -1.1121 -2.4044
-2.7176 -2.2694 1.7102
-2.7124 2.7770 -0.6251
Be Cu Pt
2 1 1
Cartesian
0.0000 0.0000 0.0000
-2.7150 0.2538 0.5425
-1.6484 0.8325 -1.5148
-1.6510 -1.6907 -0.3471

***

BeCu2Pt meta-GGA SCAN single point on PBEsol structure; energy of formation = -8.9 kcal/mol of atoms
1.0
2.7397 0.0000 0.0000
0.0000 2.7397 0.0000
0.0000 0.0000 6.0482
Pt Cu Be
1 2 1
Cartesian
0.0000 0.0000 3.2275
0.0000 0.0000 5.9215
1.3699 1.3699 1.4051
1.3699 1.3699 4.5664

***

BeCu2Pt meta-GGA SCAN single point on PBEsol structure; energy of formation = -1.5 kcal/mol of atoms
1.0
2.5746 -0.0273 0.0000
-1.1376 2.3098 0.0000
0.0000 0.0000 8.0676
Pt Cu Be
1 2 1
Cartesian
0.7185 1.1413 4.0338
0.0000 0.0000 1.7847
0.0000 0.0000 6.2829
0.7185 1.1413 0.0000

***

Size of the total moment? In order: 0.00; 0.00; 0.00; 0.00; 0.00; 0.00 μB/cell.